(1)
Here is an optimized crystal structure of TaBiSeN2 from Alexandria via LeMat-Bulk. Energies are from GGA-PBE. Values from VASP.

Geometry as Quantum ESPRESSO input:
```
&SYSTEM
  ibrav = 0, nat = 5, ntyp = 4
/
ATOMIC_SPECIES
N 14.01 N.upf
Se 78.96 Se.upf
Bi 208.98 Bi.upf
Ta 180.95 Ta.upf
CELL_PARAMETERS angstrom
-0.2970 -4.1105 -0.1473
2.2378 -0.2854 3.4521
-4.4047 0.2152 2.8731
ATOMIC_POSITIONS crystal
N 0.0000 0.5000 0.0000
Se 0.0000 0.0000 0.5000
N 0.5000 0.0000 0.0000
Bi 0.5000 0.5000 0.5000
Ta 0.0000 0.0000 0.0000
```

Calculated values
Energy above the lowest structure with this stoichiometry   0.0000 eV/atom
D(E_F)   2.36 states/eV/f.u.
Formation energy without anion corrections   0.156 eV/atom
Space group   No. 123

---

(2)
Here is an optimized crystal structure of CsBaOs2 from Alexandria via LeMat-Bulk. Energies are from GGA-PBE. Values from VASP.

Geometry as Quantum ESPRESSO input:
```
&SYSTEM
  ibrav = 0, nat = 4, ntyp = 3
/
ATOMIC_SPECIES
Os 190.23 Os.upf
Cs 132.91 Cs.upf
Ba 137.33 Ba.upf
CELL_PARAMETERS angstrom
-0.1016 0.6933 5.4835
0.6616 5.0450 2.1609
-4.2760 2.5689 2.3825
ATOMIC_POSITIONS crystal
Os 0.2500 0.2500 0.2500
Cs 0.0000 0.0000 0.0000
Ba 0.5000 0.5000 0.5000
Os 0.7500 0.7500 0.7500
```

Calculated values
DFT formation energy   2.18 eV/atom
D(E_F)   3.78 states/eV/f.u.
Space group   No. 225

---

(3)
Here is an optimized crystal structure of ScMn2Ni from Alexandria via LeMat-Bulk. Energies are from GGA-PBE. Values from VASP.

Geometry as Quantum ESPRESSO input:
```
&SYSTEM
  ibrav = 0, nat = 4, ntyp = 3
/
ATOMIC_SPECIES
Mn 54.94 Mn.upf
Sc 44.96 Sc.upf
Ni 58.69 Ni.upf
CELL_PARAMETERS angstrom
0.0000 3.0468 3.0468
3.0468 0.0000 3.0468
3.0468 3.0468 0.0000
ATOMIC_POSITIONS crystal
Mn 0.7500 0.7500 0.7500
Mn 0.2500 0.2500 0.2500
Sc 0.0000 0.0000 0.0000
Ni 0.5000 0.5000 0.5000
```

Calculated values
DFT formation energy   0.09 eV/atom
D(E_F)   4.56 states/eV/f.u.
Space group   No. 225

---

(4)
Here is an optimized crystal structure of Ca2ZnAs from Alexandria via LeMat-Bulk. Energies are from GGA-PBE. Values from VASP.

Geometry as Quantum ESPRESSO input:
```
&SYSTEM
  ibrav = 0, nat = 4, ntyp = 3
/
ATOMIC_SPECIES
As 74.92 As.upf
Zn 65.41 Zn.upf
Ca 40.08 Ca.upf
CELL_PARAMETERS angstrom
3.7357 0.0000 0.0000
0.0000 3.7357 0.0000
0.0000 0.0000 6.9837
ATOMIC_POSITIONS crystal
As 0.5000 0.5000 0.7500
Zn 0.5000 0.5000 0.2500
Ca 0.0000 0.0000 0.9831
Ca 0.0000 0.0000 0.5169
```

Calculated values
Energy above the lowest structure with this stoichiometry   0.1094 eV/atom
DFT formation energy   -0.64 eV/atom
D(E_F)   1.75 states/eV/f.u.
Space group   No. 123

---

(5)
Here is an optimized crystal structure of HfAl2Sb from Alexandria via LeMat-Bulk. Energies are from GGA-PBE. Values from VASP.

Geometry as Quantum ESPRESSO input:
```
&SYSTEM
  ibrav = 0, nat = 8, ntyp = 3
/
ATOMIC_SPECIES
Hf 178.49 Hf.upf
Al 26.98 Al.upf
Sb 121.76 Sb.upf
CELL_PARAMETERS angstrom
-6.0019 -2.6559 -4.2341
-2.1862 -4.5550 5.9562
-5.7511 -1.4811 1.8775
ATOMIC_POSITIONS crystal
Hf 0.7500 0.2500 0.5000
Al 0.6151 0.1250 0.2500
Sb 0.5000 0.5000 0.0000
Al 0.1349 0.6250 0.2500
Al 0.8750 0.8651 0.7500
Hf 0.0000 0.0000 0.0000
Al 0.3750 0.3849 0.7500
Sb 0.2500 0.7500 0.5000
```

Calculated values
D(E_F)   3.06 states/eV/f.u.
Formation energy without anion corrections   0.174 eV/atom
Space group   No. 122

---

(6)
Here is an optimized crystal structure of KHgIr from Alexandria via LeMat-Bulk. Energies are from GGA-PBE. Values from VASP.

Geometry as Quantum ESPRESSO input:
```
&SYSTEM
  ibrav = 0, nat = 3, ntyp = 3
/
ATOMIC_SPECIES
Ir 192.22 Ir.upf
Hg 200.59 Hg.upf
K 39.10 K.upf
CELL_PARAMETERS angstrom
-3.9587 1.6647 -6.5533
-6.1822 1.4100 -4.6020
-0.1758 2.9583 0.1849
ATOMIC_POSITIONS crystal
Ir 0.3436 0.3436 0.6564
Hg 0.9812 0.9812 0.0188
K 0.6752 0.6752 0.3248
```

Calculated values
Energy above the lowest structure with this stoichiometry   0.1971 eV/atom
DFT formation energy   0.62 eV/atom
D(E_F)   3.12 states/eV/f.u.
Space group   No. 107